1.
First-principles (GGA-PBE) data for an optimized crystal structure of LaTc2Ni, as listed in Alexandria.

a = 9.5471 Å, b = 3.0424 Å, c = 4.8600 Å
α = 90.00°, β = 100.67°, γ = 90.00°
Space group C2/m (No. 12)
Symmetry-distinct sites (fractional):
1 La 0.0000 0.0000 0.0000 (multiplicity 2)
2 Tc 0.2186 0.0000 0.6918 (multiplicity 4)
3 Ni 0.0000 0.5000 0.5000 (multiplicity 2)

## Properties
E above lowest polymorph	0.230	eV/atom
DFT formation energy	0.286	eV per atom

=====

2.
First-principles (GGA-PBE) data for an optimized crystal structure of BaHfNb2Pt, as listed in Alexandria.

a = 5.0925 Å, b = 5.0925 Å, c = 5.2125 Å
α = 90.00°, β = 90.00°, γ = 90.00°
Space group P4/mmm (No. 123)
Symmetry-distinct sites (fractional):
1 Ba 0.0000 0.0000 0.0000 (multiplicity 1)
2 Hf 0.5000 0.5000 0.5000 (multiplicity 1)
3 Nb 0.0000 0.5000 0.5000 (multiplicity 2)
4 Pt 0.5000 0.5000 0.0000 (multiplicity 1)

## Properties
DFT formation energy	0.896	eV per atom

=====

3.
First-principles (GGA-PBE) data for an optimized crystal structure of Li2FeS2, as listed in Alexandria.

a = 3.3918 Å, b = 4.7043 Å, c = 11.0553 Å
α = 90.00°, β = 90.00°, γ = 90.00°
Space group Immm (No. 71)
Symmetry-distinct sites (fractional):
1 Li 0.0000 0.0000 0.1934 (multiplicity 4)
2 Fe 0.0000 0.0000 0.5000 (multiplicity 2)
3 S 0.0000 0.5000 0.1366 (multiplicity 4)

## Properties
E above lowest polymorph	0.159	eV/atom
uncorrected formation energy	-0.72	eV/atom

=====

4.
First-principles (GGA-PBE) data for an optimized crystal structure of CaNb2P, as listed in Alexandria.

a = 4.7753 Å, b = 4.7753 Å, c = 18.3785 Å
α = 90.00°, β = 90.00°, γ = 90.00°
Space group I4_1/amd (No. 141, origin choice 2)
Symmetry-distinct sites (fractional):
1 Ca 0.0000 0.2500 0.3750 (multiplicity 4)
2 Nb 0.0000 0.0000 0.0000 (multiplicity 8)
3 P 0.0000 0.2500 0.8750 (multiplicity 4)

## Properties
DFT formation energy	0.343	eV per atom

=====

5.
First-principles (GGA-PBE) data for an optimized crystal structure of LiBe2Al, as listed in Alexandria.

a = 2.8915 Å, b = 2.8915 Å, c = 5.4324 Å
α = 90.00°, β = 90.00°, γ = 90.00°
Space group P4/mmm (No. 123)
Symmetry-distinct sites (fractional):
1 Li 0.0000 0.0000 0.0000 (multiplicity 1)
2 Be 0.5000 0.5000 0.2341 (multiplicity 2)
3 Al 0.0000 0.0000 0.5000 (multiplicity 1)

## Properties
DFT formation energy	0.196	eV per atom

=====

6.
First-principles (GGA-PBE) data for an optimized crystal structure of AcUSn, as listed in Alexandria.

a = 11.9487 Å, b = 4.3214 Å, c = 8.8369 Å
α = 90.00°, β = 122.20°, γ = 90.00°
Space group C2/m (No. 12)
Symmetry-distinct sites (fractional):
1 Ac 0.0692 0.0000 0.3498 (multiplicity 4)
2 U 0.1119 0.5000 0.0311 (multiplicity 4)
3 Sn 0.1792 0.5000 0.7238 (multiplicity 4)

## Properties
DFT formation energy	-0.051	eV per atom

=====

7.
First-principles (GGA-PBE) data for an optimized crystal structure of RbSc3Ta, as listed in Alexandria.

a = 4.9191 Å, b = 4.9191 Å, c = 4.9191 Å
α = 90.00°, β = 90.00°, γ = 90.00°
Space group Pm-3m (No. 221)
Symmetry-distinct sites (fractional):
1 Rb 0.0000 0.0000 0.0000 (multiplicity 1)
2 Sc 0.0000 0.0000 0.5000 (multiplicity 3)
3 Ta 0.5000 0.5000 0.5000 (multiplicity 1)

## Properties
E above lowest polymorph	1.010	eV/atom
DFT formation energy	1.792	eV per atom

=====

8.
First-principles (GGA-PBE) data for an optimized crystal structure of Nd3Y6Ho2Th, as listed in Alexandria.

a = 6.2295 Å, b = 10.7870 Å, c = 11.8722 Å
α = 90.00°, β = 100.09°, γ = 90.00°
Space group C2/m (No. 12)
Symmetry-distinct sites (fractional):
1 Nd 0.0000 0.0000 0.0000 (multiplicity 2)
2 Nd 0.0000 0.3329 0.0000 (multiplicity 4)
3 Y 0.2475 0.3350 0.7461 (multiplicity 8)
4 Y 0.2476 0.5000 0.2539 (multiplicity 4)
5 Ho 0.0000 0.1668 0.5000 (multiplicity 4)
6 Th 0.0000 0.5000 0.5000 (multiplicity 2)

## Properties
DFT formation energy	0.019	eV per atom

=====

9.
First-principles (GGA-PBE) data for an optimized crystal structure of Mn2IrAu, as listed in Alexandria.

a = 2.9507 Å, b = 3.8349 Å, c = 5.5219 Å
α = 90.00°, β = 90.00°, γ = 90.00°
Space group Pmm2 (No. 25)
Symmetry-distinct sites (fractional):
1 Mn 0.0000 0.0000 0.0000 (multiplicity 1)
2 Mn 0.5000 0.5000 0.2962 (multiplicity 1)
3 Ir 0.5000 0.5000 0.8279 (multiplicity 1)
4 Au 0.0000 0.0000 0.5120 (multiplicity 1)

## Properties
E above lowest polymorph	0.166	eV/atom
DFT formation energy	0.126	eV per atom

=====

10.
First-principles (GGA-PBE) data for an optimized crystal structure of AcSmCu3, as listed in Alexandria.

a = 3.9958 Å, b = 25.8546 Å, c = 4.4305 Å
α = 90.00°, β = 90.00°, γ = 90.00°
Space group Cmcm (No. 63)
Symmetry-distinct sites (fractional):
1 Ac 0.0000 0.0733 0.2500 (multiplicity 4)
2 Sm 0.0000 0.2057 0.7500 (multiplicity 4)
3 Cu 0.0000 0.3247 0.7500 (multiplicity 4)
4 Cu 0.0000 0.3774 0.2500 (multiplicity 4)
5 Cu 0.0000 0.4754 0.2500 (multiplicity 4)

## Properties
DFT formation energy	-0.196	eV per atom

=====

11.
First-principles (GGA-PBE) data for an optimized crystal structure of Y2TmAu, as listed in Alexandria.

a = 3.6626 Å, b = 12.5909 Å, c = 9.6842 Å
α = 90.00°, β = 90.00°, γ = 90.00°
Space group Cmcm (No. 63)
Symmetry-distinct sites (fractional):
1 Y 0.0000 0.1327 0.0573 (multiplicity 8)
2 Tm 0.0000 0.4392 0.2500 (multiplicity 4)
3 Au 0.0000 0.2491 0.7500 (multiplicity 4)

## Properties
E above lowest polymorph	0.023	eV/atom
DFT formation energy	-0.438	eV per atom

=====

12.
First-principles (GGA-PBE) data for an optimized crystal structure of DyEr2Bi, as listed in Alexandria.

a = 3.5206 Å, b = 3.5206 Å, c = 35.7484 Å
α = 90.00°, β = 90.00°, γ = 120.00°
Space group R-3m (No. 166, hexagonal axes)
Symmetry-distinct sites (fractional):
1 Dy 0.0000 0.0000 0.0000 (multiplicity 3)
2 Er 0.0000 0.0000 0.4123 (multiplicity 6)
3 Bi 0.0000 0.0000 0.5000 (multiplicity 3)

## Properties
E above lowest polymorph	0.401	eV/atom
DFT formation energy	0.031	eV per atom

=====

13.
First-principles (GGA-PBE) data for an optimized crystal structure of Al4TlHg, as listed in Alexandria.

a = 7.9814 Å, b = 7.9814 Å, c = 7.9814 Å
α = 90.00°, β = 90.00°, γ = 90.00°
Space group F-43m (No. 216)
Symmetry-distinct sites (fractional):
1 Al 0.1247 0.1247 0.1247 (multiplicity 16)
2 Tl 0.0000 0.0000 0.5000 (multiplicity 4)
3 Hg 0.2500 0.2500 0.7500 (multiplicity 4)

## Properties
DFT formation energy	0.208	eV per atom

=====

14.
First-principles (GGA-PBE) data for an optimized crystal structure of GdTmSnPd, as listed in Alexandria.

a = 7.2812 Å, b = 7.2812 Å, c = 7.2812 Å
α = 90.00°, β = 90.00°, γ = 90.00°
Space group F-43m (No. 216)
Symmetry-distinct sites (fractional):
1 Gd 0.0000 0.0000 0.0000 (multiplicity 4)
2 Tm 0.0000 0.0000 0.5000 (multiplicity 4)
3 Sn 0.2500 0.2500 0.2500 (multiplicity 4)
4 Pd 0.2500 0.2500 0.7500 (multiplicity 4)

## Properties
DFT formation energy	-0.738	eV per atom

=====

15.
First-principles (GGA-PBE) data for an optimized crystal structure of Pm2Mn2Ge2C, as listed in Alexandria.

a = 10.9239 Å, b = 3.9452 Å, c = 7.1305 Å
α = 90.00°, β = 126.76°, γ = 90.00°
Space group C2/m (No. 12)
Symmetry-distinct sites (fractional):
1 Pm 0.0629 0.0000 0.2931 (multiplicity 4)
2 Mn 0.1941 0.5000 0.0758 (multiplicity 4)
3 Ge 0.1602 0.5000 0.7048 (multiplicity 4)
4 C 0.0000 0.5000 0.0000 (multiplicity 2)

## Properties
DFT formation energy	-0.527	eV per atom

=====

16.
First-principles (GGA-PBE) data for an optimized crystal structure of CeGdMgSc, as listed in Alexandria.

a = 7.6385 Å, b = 7.6385 Å, c = 7.6385 Å
α = 90.00°, β = 90.00°, γ = 90.00°
Space group F-43m (No. 216)
Symmetry-distinct sites (fractional):
1 Ce 0.0000 0.0000 0.0000 (multiplicity 4)
2 Gd 0.0000 0.0000 0.5000 (multiplicity 4)
3 Mg 0.2500 0.2500 0.7500 (multiplicity 4)
4 Sc 0.2500 0.2500 0.2500 (multiplicity 4)

## Properties
DFT formation energy	0.066	eV per atom

=====

17.
First-principles (GGA-PBE) data for an optimized crystal structure of Y2TlGa2Rh5, as listed in Alexandria.

a = 9.8666 Å, b = 9.8666 Å, c = 3.6325 Å
α = 90.00°, β = 90.00°, γ = 90.00°
Space group P4/mbm (No. 127)
Symmetry-distinct sites (fractional):
1 Y 0.1750 0.3250 0.0000 (multiplicity 4)
2 Tl 0.0000 0.0000 0.0000 (multiplicity 2)
3 Ga 0.1226 0.6226 0.0000 (multiplicity 4)
4 Rh 0.0000 0.5000 0.5000 (multiplicity 2)
5 Rh 0.0692 0.7892 0.5000 (multiplicity 8)

## Properties
DFT formation energy	-0.695	eV per atom

=====

18.
First-principles (GGA-PBE) data for an optimized crystal structure of Y2WCl, as listed in Alexandria.

a = 5.1551 Å, b = 3.2357 Å, c = 11.0689 Å
α = 90.00°, β = 90.00°, γ = 90.00°
Space group Amm2 (No. 38)
Symmetry-distinct sites (fractional):
1 Y 0.0000 0.0000 0.0000 (multiplicity 2)
2 Y 0.5000 0.0000 0.2702 (multiplicity 2)
3 W 0.5000 0.0000 0.5310 (multiplicity 2)
4 Cl 0.0000 0.0000 0.7490 (multiplicity 2)

## Properties
E above lowest polymorph	0.279	eV/atom
uncorrected formation energy	-0.10	eV/atom

=====

19.
First-principles (GGA-PBE) data for an optimized crystal structure of Er2MgHg3, as listed in Alexandria.

a = 3.6371 Å, b = 3.6371 Å, c = 10.7938 Å
α = 90.00°, β = 90.00°, γ = 90.00°
Space group P4/mmm (No. 123)
Symmetry-distinct sites (fractional):
1 Er 0.0000 0.0000 0.1735 (multiplicity 2)
2 Mg 0.0000 0.0000 0.5000 (multiplicity 1)
3 Hg 0.5000 0.5000 0.0000 (multiplicity 1)
4 Hg 0.5000 0.5000 0.3437 (multiplicity 2)

## Properties
E above lowest polymorph	0.042	eV/atom
DFT formation energy	-0.413	eV per atom

=====

20.
First-principles (GGA-PBE) data for an optimized crystal structure of TaAg3W, as listed in Alexandria.

a = 4.9086 Å, b = 4.9086 Å, c = 4.9086 Å
α = 90.00°, β = 90.00°, γ = 90.00°
Space group Pm-3m (No. 221)
Symmetry-distinct sites (fractional):
1 Ta 0.0000 0.0000 0.0000 (multiplicity 1)
2 Ag 0.0000 0.5000 0.5000 (multiplicity 3)
3 W 0.5000 0.5000 0.5000 (multiplicity 1)

## Properties
E above lowest polymorph	0.000	eV/atom
DFT formation energy	2.299	eV per atom

=====

21.
First-principles (GGA-PBE) data for an optimized crystal structure of BeBiSb2I, as listed in Alexandria.

a = 5.1367 Å, b = 5.1367 Å, c = 5.0578 Å
α = 90.00°, β = 90.00°, γ = 90.00°
Space group P4/mmm (No. 123)
Symmetry-distinct sites (fractional):
1 Be 0.0000 0.0000 0.0000 (multiplicity 1)
2 Bi 0.5000 0.5000 0.5000 (multiplicity 1)
3 Sb 0.0000 0.5000 0.0000 (multiplicity 2)
4 I 0.0000 0.0000 0.5000 (multiplicity 1)

## Properties
E above lowest polymorph	0.000	eV/atom
uncorrected formation energy	0.41	eV/atom

=====

22.
First-principles (GGA-PBE) data for an optimized crystal structure of BeCu2Tc, as listed in Alexandria.

a = 4.0685 Å, b = 4.0718 Å, c = 5.7431 Å
α = 90.00°, β = 90.00°, γ = 90.00°
Space group Imm2 (No. 44)
Symmetry-distinct sites (fractional):
1 Be 0.0000 0.0000 0.0000 (multiplicity 2)
2 Cu 0.0000 0.0000 0.5009 (multiplicity 2)
3 Cu 0.0000 0.5000 0.2509 (multiplicity 2)
4 Tc 0.0000 0.5000 0.7508 (multiplicity 2)

## Properties
DFT formation energy	0.235	eV per atom

=====

23.
First-principles (GGA-PBE) data for an optimized crystal structure of Fe3ReOs, as listed in Alexandria.

a = 4.3662 Å, b = 4.3662 Å, c = 4.3662 Å
α = 90.00°, β = 90.00°, γ = 90.00°
Space group Pm-3m (No. 221)
Symmetry-distinct sites (fractional):
1 Fe 0.0000 0.0000 0.5000 (multiplicity 3)
2 Re 0.0000 0.0000 0.0000 (multiplicity 1)
3 Os 0.5000 0.5000 0.5000 (multiplicity 1)

## Properties
E above lowest polymorph	0.000	eV/atom
DFT formation energy	1.952	eV per atom

=====

24.
First-principles (GGA-PBE) data for an optimized crystal structure of CdGeBi2O6, as listed in Alexandria.

a = 5.3550 Å, b = 5.3550 Å, c = 5.1709 Å
α = 90.00°, β = 90.00°, γ = 90.00°
Space group P4mm (No. 99)
Symmetry-distinct sites (fractional):
1 Cd 0.0000 0.0000 0.0000 (multiplicity 1)
2 Ge 0.5000 0.5000 0.0740 (multiplicity 1)
3 Bi 0.0000 0.5000 0.4699 (multiplicity 2)
4 O 0.0000 0.0000 0.5941 (multiplicity 1)
5 O 0.2670 0.2670 0.2101 (multiplicity 4)
6 O 0.5000 0.5000 0.7330 (multiplicity 1)

## Properties
E above lowest polymorph	0.086	eV/atom
uncorrected formation energy	-1.28	eV/atom

=====

25.
First-principles (GGA-PBE) data for an optimized crystal structure of CaLa2Ti, as listed in Alexandria.

a = 8.9006 Å, b = 8.9006 Å, c = 6.7242 Å
α = 90.00°, β = 90.00°, γ = 90.00°
Space group I-42d (No. 122)
Symmetry-distinct sites (fractional):
1 Ca 0.0000 0.0000 0.0000 (multiplicity 4)
2 La 0.2100 0.7500 0.6250 (multiplicity 8)
3 Ti 0.0000 0.0000 0.5000 (multiplicity 4)

## Properties
E above lowest polymorph	0.230	eV/atom
DFT formation energy	0.538	eV per atom

=====

26.
First-principles (GGA-PBE) data for an optimized crystal structure of Li2HoInCl6, as listed in Alexandria.

a = 6.9135 Å, b = 6.9135 Å, c = 18.9786 Å
α = 90.00°, β = 90.00°, γ = 120.00°
Space group R3 (No. 146, hexagonal axes)
Symmetry-distinct sites (fractional):
1 Li 0.0000 0.0000 0.0000 (multiplicity 3)
2 Li 0.0000 0.0000 0.4876 (multiplicity 3)
3 Ho 0.0000 0.0000 0.7942 (multiplicity 3)
4 In 0.0000 0.0000 0.2733 (multiplicity 3)
5 Cl 0.0102 0.3411 0.7273 (multiplicity 9)
6 Cl 0.0914 0.7475 0.5516 (multiplicity 9)

## Properties
uncorrected formation energy	-1.78	eV/atom

=====

no.,uncorrected energy (eV per atom)
1,-7.57
2,-6.71
3,-4.83
4,-6.54
5,-3.08
6,-6.52
7,-4.57
8,-5.79
9,-7.49
10,-4.42
11,-5.61
12,-4.37
13,-2.73
14,-7.67
15,-7.14
16,-6.92
17,-6.51
18,-7.03
19,-2.35
20,-4.37
21,-3.07
22,-5.34
23,-7.86
24,-5.59
25,-4.40
26,-4.00